This record from the Alexandria database describes crystalline AcPuNiGe at its relaxed geometry. The functional is PBE-GGA.

Properties
Formation energy ... -181 meV/atom
Magnetization ... 5.24 μB per formula unit

Cell lengths 5.1749, 5.1749, 5.1749 Å; angles 60.00, 60.00, 60.00 degrees
Last column: magnetic moment on the atom in μB.
Sites, in units of the cell vectors:
1 Ni 0.7500 0.7500 0.7500  -0.32
2 Ac 0.5000 0.5000 0.5000  0.04
3 Ge 0.2500 0.2500 0.2500  -0.10
4 Pu 0.0000 0.0000 0.0000  5.34